Entry 1:
First-principles (PBE) data for an optimized crystal structure of Ac2MgZn4In3, as listed in the Alexandria database.

* density of states at the Fermi level: 4.319 states/eV/f.u.
* energy of formation from the pure elements: -343 meV/atom
* calculated density: 7.4 g cm⁻³
* space group: P-4m2, No. 115

```
Ac2MgZn4In3
1.0
-4.352 1.376 0.785
-0.986 -0.560 -4.490
-3.051 -10.795 2.016
In Mg Ac Zn
3 1 2 4
Cartesian
-0.888 -1.677 -1.984 In
-1.526 -5.398 1.008 In
-4.832 -8.710 2.147 In
-4.195 -4.989 -0.845 Mg
-2.811 -8.479 -0.714 Ac
-2.910 -1.908 0.877 Ac
-4.118 -6.185 1.676 Zn
0.000 0.000 0.000 Zn
-1.602 -4.202 -1.513 Zn
-2.669 0.408 -1.853 Zn
```

Entry 2:
First-principles (PBE) data for an optimized crystal structure of YSiOs2, as listed in the Alexandria database.

* density of states at the Fermi level: 3.528 states/eV/f.u.
* uncorrected formation energy: -0.41 eV per formula unit
* calculated density: 12.6 g cm⁻³
* space group: P4/mmm, No. 123

```
YSiOs2
1.0
3.068 0.000 0.000
0.000 3.068 0.000
0.000 0.000 6.944
Os Si Y
2 1 1
Cartesian
0.000 0.000 3.109 Os
0.000 0.000 0.363 Os
1.534 1.534 1.736 Si
1.534 1.534 5.208 Y
```

Entry 3:
First-principles (PBE) data for an optimized crystal structure of Zn2CdAu7, as listed in the Alexandria database.

* density of states at the Fermi level: 2.632 states/eV/f.u.
* distance to the lowest polymorph of the same formula: 132.9 meV/atom
* energy of formation from the pure elements: 29 meV/atom
* calculated density: 12.1 g cm⁻³
* space group: Cmmm, No. 65

```
Zn2CdAu7
1.0
4.604 0.000 0.000
0.000 7.481 -0.256
0.000 -3.530 6.600
Au Cd Zn
7 1 2
Cartesian
2.302 -0.513 1.961 Au
0.000 5.159 1.189 Au
0.000 -1.209 5.155 Au
2.302 1.975 3.172 Au
2.302 1.986 0.404 Au
2.302 1.965 5.940 Au
2.302 4.464 4.383 Au
0.000 0.000 0.000 Cd
2.302 4.194 1.790 Zn
2.302 -0.243 4.554 Zn
```

Entry 4:
First-principles (PBE) data for an optimized crystal structure of La7Pm4Th, as listed in the Alexandria database.

* density of states at the Fermi level: 19.557 states/eV/f.u.
* energy of formation from the pure elements: 21 meV/atom
* calculated density: 6.9 g cm⁻³
* space group: P-1, No. 2

```
La7Pm4Th
1.0
7.125 1.854 0.899
5.365 7.842 2.546
-1.047 -0.483 9.133
La Pm Th
7 4 1
Cartesian
7.680 3.636 7.711 La
7.991 5.292 1.947 La
3.562 0.927 0.449 La
3.452 3.920 10.631 La
5.042 6.213 8.347 La
6.401 2.999 4.231 La
3.763 5.576 4.867 La
2.823 2.098 3.882 Pm
8.620 7.114 8.696 Pm
7.268 6.509 5.288 Pm
4.175 2.702 7.290 Pm
0.000 0.000 0.000 Th
```

- calculated density of number 2 (YSiOs2)?
  12.6 g cm⁻³